The following is a DFT calculation (PBE-GGA) of a geometry-optimized NaPuPb2O6 structure.

abc: 6.0763 6.0763 15.0939
angles: 90.00 90.00 120.00
Space group R3 (No. 146, hexagonal axes)
One atom of each set of equivalent atoms:
Na 0.0000 0.0000 0.0000 [3 per cell]
Pu 0.0000 0.0000 0.5127 [3 per cell]
Pb 0.0000 0.0000 0.2222 [3 per cell]
Pb 0.0000 0.0000 0.7340 [3 per cell]
O 0.0438 0.7618 0.5950 [9 per cell]
O 0.0862 0.3558 0.1082 [9 per cell]

The raw formation energy is -1.7932 eV per atom. As for the crystal system: trigonal. For the size of the total moment, the calculation gives 3.0 μB per cell. Its calculated volume is 16.1 Å³/atom.